# PBE BeI2BrO, optimized geometry
data_BeI2BrO
_cell_length_a 8.4795
_cell_length_b 8.4795
_cell_length_c 2.8387
_cell_angle_alpha 90.00
_cell_angle_beta 90.00
_cell_angle_gamma 90.00
_symmetry_space_group_name_H-M 'P 1'
_symmetry_Int_Tables_number 1
loop_
_symmetry_equiv_pos_as_xyz
'x,y,z'
loop_
_atom_site_label
_atom_site_type_symbol
_atom_site_fract_x
_atom_site_fract_y
_atom_site_fract_z
_atom_site_occupancy
I1 I 0.0000 0.5000 0.0000 1
I2 I 0.5000 0.0000 0.0000 1
Be1 Be 0.0000 0.0000 0.0000 1
O1 O 0.0000 0.0000 0.5000 1
Br1 Br 0.5000 0.5000 0.5000 1
# - SG: No. 123
# - Formation energy without anion corrections: -0.694 eV/atom
# - Polymorph energy (0 for the lowest one): 0.0 meV/atom
# - Uncorrected energy: -16.928 eV for the cell shown